(1)
## Pr3SmSn2 (PBE-GGA)

Data for crystalline Pr3SmSn2 at its relaxed geometry.

Summary:
Energy above the most stable polymorph in this dataset: 0.2322 eV per atom
Magnetic moment: 0.0 μB per cell
ΔH_f (0 K): -343 meV per atom
Final energy: -4.85 eV/atom
Symmetry: Ibam

Lattice parameters (Å, degrees): 7.465 7.909 9.257 115.29 113.78 90.00
Positions (direct):
Sn 0.173 0.859 0.719
Sn 0.545 0.359 0.719
Sn 0.455 0.641 0.281
Sn 0.827 0.141 0.281
Pr 0.213 0.963 0.427
Pr 0.787 0.037 0.573
Pr 0.213 0.463 0.427
Pr 0.500 0.250 0.000
Pr 0.787 0.537 0.573
Pr 0.500 0.750 0.000
Sm 0.000 0.500 0.000
Sm 0.000 0.000 0.000



(2)
## Pr3Sm5Sn2 (PBE-GGA)

Data for crystalline Pr3Sm5Sn2 at its relaxed geometry.

Summary:
Magnetic moment: 0.0 μB per cell
ΔH_f (0 K): -98 meV per atom
Final energy: -4.69 eV/atom
Symmetry: Ibam

Lattice parameters (Å, degrees): 6.579 10.744 10.744 94.04 72.17 72.17
Positions (direct):
Pr 0.869 0.908 0.353
Pr 0.369 0.353 0.908
Pr 0.631 0.647 0.092
Pr 0.131 0.092 0.647
Pr 0.250 0.000 0.000
Pr 0.750 0.000 0.000
Sn 0.639 0.009 0.713
Sn 0.139 0.713 0.009
Sn 0.861 0.287 0.991
Sn 0.361 0.991 0.287
Sm 0.906 0.430 0.758
Sm 0.750 0.500 0.500
Sm 0.997 0.253 0.253
Sm 0.094 0.570 0.242
Sm 0.250 0.500 0.500
Sm 0.003 0.747 0.747
Sm 0.594 0.242 0.570
Sm 0.503 0.747 0.747
Sm 0.406 0.758 0.430
Sm 0.497 0.253 0.253



(3)
## Pr2SmSn3 (PBE-GGA)

Data for crystalline Pr2SmSn3 at its relaxed geometry.

Summary:
Magnetic moment: 0.0 μB per cell
ΔH_f (0 K): -593 meV per atom
Final energy: -4.97 eV/atom
Symmetry: Immm

Lattice parameters (Å, degrees): 5.294 6.402 7.017 117.14 112.16 90.00
Positions (direct):
Sn 0.343 0.343 0.685
Sn 0.657 0.657 0.315
Sn 0.000 0.000 0.000
Pr 0.331 0.831 0.661
Pr 0.669 0.169 0.339
Sm 0.000 0.500 0.000



(4)
## Pr2SmSn (PBE-GGA)

Data for crystalline Pr2SmSn at its relaxed geometry.

Summary:
Energy above the most stable polymorph in this dataset: 0.0000 eV per atom
Magnetic moment: 0.0 μB per cell
ΔH_f (0 K): -448 meV per atom
Final energy: -5.02 eV/atom
Symmetry: P4/mmm

Lattice parameters (Å, degrees): 4.998 4.940 4.940 90.00 90.00 90.00
Positions (direct):
Pr 0.000 0.500 0.000
Pr 0.000 0.000 0.500
Sm 0.500 0.500 0.500
Sn 0.500 0.000 0.000



(5)
## PrSmSn2 (PBE-GGA)

Data for crystalline PrSmSn2 at its relaxed geometry.

Summary:
Magnetic moment: 0.0 μB per cell
ΔH_f (0 K): -551 meV per atom
Final energy: -4.93 eV/atom
Symmetry: R-3m

Lattice parameters (Å, degrees): 4.174 4.174 8.852 76.36 76.36 60.00
Positions (direct):
Sn 0.752 0.752 0.745
Sn 0.248 0.248 0.255
Sm 0.500 0.500 0.500
Pr 0.000 0.000 0.000



(6)
## Pr2SmSn (PBE-GGA)

Data for crystalline Pr2SmSn at its relaxed geometry.

Summary:
Energy above the most stable polymorph in this dataset: 0.3632 eV per atom
Magnetic moment: 0.0 μB per cell
ΔH_f (0 K): -84 meV per atom
Final energy: -4.65 eV/atom
Symmetry: Cmcm

Lattice parameters (Å, degrees): 3.521 5.694 13.875 90.00 97.29 90.00
Positions (direct):
Pr 0.811 0.750 0.622
Pr 0.189 0.250 0.378
Pr 0.905 0.250 0.810
Pr 0.095 0.750 0.190
Sn 0.305 0.250 0.610
Sn 0.695 0.750 0.390
Sm 0.973 0.750 0.946
Sm 0.027 0.250 0.054



(7)
## PrSm5Sn4 (PBE-GGA)

Data for crystalline PrSm5Sn4 at its relaxed geometry.

Summary:
Magnetic moment: 0.0 μB per cell
ΔH_f (0 K): -613 meV per atom
Final energy: -5.05 eV/atom
Symmetry: C2/m

Lattice parameters (Å, degrees): 4.847 8.084 10.276 124.50 103.64 90.00
Positions (direct):
Sn 0.939 0.650 0.878
Sn 0.308 0.860 0.616
Sn 0.061 0.350 0.122
Sn 0.692 0.140 0.384
Sm 0.145 0.854 0.290
Sm 0.698 0.561 0.396
Sm 0.302 0.439 0.604
Sm 0.500 0.500 0.000
Sm 0.855 0.146 0.710
Pr 0.500 0.000 0.000



(8)
## Pr2Sm2Sn (PBE-GGA)

Data for crystalline Pr2Sm2Sn at its relaxed geometry.

Summary:
Magnetic moment: 0.0 μB per cell
ΔH_f (0 K): 131 meV per atom
Final energy: -4.47 eV/atom
Symmetry: I4/mmm

Lattice parameters (Å, degrees): 4.424 4.424 9.490 103.48 103.48 90.00
Positions (direct):
Sm 0.750 0.250 0.500
Sm 0.250 0.750 0.500
Pr 0.585 0.585 0.170
Pr 0.415 0.415 0.830
Sn 0.000 0.000 0.000



(9)
## Pr7SmSn4 (PBE-GGA)

Data for crystalline Pr7SmSn4 at its relaxed geometry.

Summary:
Magnetic moment: 0.0 μB per cell
ΔH_f (0 K): -316 meV per atom
Final energy: -4.83 eV/atom
Symmetry: C2/m

Lattice parameters (Å, degrees): 5.938 9.755 7.763 79.39 67.51 72.28
Positions (direct):
Pr 0.058 0.628 0.256
Pr 0.500 0.000 0.000
Pr 0.209 0.112 0.470
Pr 0.942 0.372 0.744
Pr 0.686 0.387 0.240
Pr 0.314 0.613 0.760
Pr 0.791 0.888 0.530
Sn 0.303 0.328 0.066
Sn 0.697 0.672 0.934
Sn 0.437 0.764 0.363
Sn 0.563 0.236 0.637
Sm 0.000 0.000 0.000



(10)
## Pr6SmSn10 (PBE-GGA)

Data for crystalline Pr6SmSn10 at its relaxed geometry.

Summary:
Magnetic moment: 0.0 μB per cell
ΔH_f (0 K): -562 meV per atom
Final energy: -4.88 eV/atom
Symmetry: P-31m

Lattice parameters (Å, degrees): 6.514 9.462 9.462 120.00 90.00 90.00
Positions (direct):
Sn 0.178 0.000 0.749
Sn 0.000 0.667 0.333
Sn 0.822 0.749 0.749
Sn 0.178 0.749 0.000
Sn 0.000 0.333 0.667
Sn 0.822 0.251 0.000
Sn 0.500 0.667 0.333
Sn 0.822 0.000 0.251
Sn 0.178 0.251 0.251
Sn 0.500 0.333 0.667
Pr 0.269 0.000 0.391
Pr 0.731 0.391 0.391
Pr 0.731 0.000 0.609
Pr 0.269 0.609 0.609
Pr 0.269 0.391 0.000
Pr 0.731 0.609 0.000
Sm 0.500 0.000 0.000



(11)
## Pr3SmSn2 (PBE-GGA)

Data for crystalline Pr3SmSn2 at its relaxed geometry.

Summary:
Energy above the most stable polymorph in this dataset: 0.0000 eV per atom
Magnetic moment: 0.0 μB per cell
ΔH_f (0 K): -575 meV per atom
Final energy: -5.09 eV/atom
Symmetry: P-4m2

Lattice parameters (Å, degrees): 4.684 4.684 8.850 90.00 90.00 90.00
Positions (direct):
Pr 0.000 0.000 0.000
Pr 0.500 0.000 0.351
Pr 0.000 0.500 0.649
Sm 0.500 0.500 0.000
Sn 0.000 0.500 0.278
Sn 0.500 0.000 0.722



(12)
## PrSmSn2 (PBE-GGA)

Data for crystalline PrSmSn2 at its relaxed geometry.

Summary:
Magnetic moment: 0.0 μB per cell
ΔH_f (0 K): -779 meV per atom
Final energy: -5.16 eV/atom
Symmetry: Amm2

Lattice parameters (Å, degrees): 4.660 4.393 6.315 90.00 111.63 90.00
Positions (direct):
Pr 0.718 0.000 0.976
Sn 0.172 0.500 0.883
Sn 0.993 0.000 0.525
Sm 0.448 0.500 0.434



(13)
## Pr5Sm3Sn2 (PBE-GGA)

Data for crystalline Pr5Sm3Sn2 at its relaxed geometry.

Summary:
Magnetic moment: 0.0 μB per cell
ΔH_f (0 K): -54 meV per atom
Final energy: -4.66 eV/atom
Symmetry: Ibam

Lattice parameters (Å, degrees): 6.601 10.848 10.848 94.17 72.29 72.29
Positions (direct):
Pr 0.907 0.428 0.758
Pr 0.407 0.758 0.428
Pr 0.499 0.751 0.751
Pr 0.999 0.751 0.751
Pr 0.501 0.249 0.249
Pr 0.750 0.500 0.500
Pr 0.093 0.572 0.242
Pr 0.001 0.249 0.249
Pr 0.250 0.500 0.500
Pr 0.593 0.242 0.572
Sm 0.750 0.000 0.000
Sm 0.250 0.000 0.000
Sm 0.123 0.086 0.668
Sm 0.623 0.668 0.086
Sm 0.377 0.332 0.914
Sm 0.877 0.914 0.332
Sn 0.871 0.274 0.983
Sn 0.371 0.983 0.274
Sn 0.129 0.726 0.017
Sn 0.629 0.017 0.726



(14)
## Pr8SmSn6 (PBE-GGA)

Data for crystalline Pr8SmSn6 at its relaxed geometry.

Summary:
Magnetic moment: 0.0 μB per cell
ΔH_f (0 K): -572 meV per atom
Final energy: -5.04 eV/atom
Symmetry: R-3

Lattice parameters (Å, degrees): 9.434 9.434 8.599 56.73 56.73 60.00
Positions (direct):
Sn 0.737 0.397 0.798
Sn 0.263 0.603 0.202
Sn 0.068 0.737 0.798
Sn 0.932 0.263 0.202
Sn 0.397 0.068 0.798
Sn 0.603 0.932 0.202
Pr 0.103 0.439 0.690
Pr 0.897 0.561 0.310
Pr 0.334 0.334 0.999
Pr 0.666 0.666 0.001
Pr 0.561 0.232 0.310
Pr 0.232 0.897 0.310
Pr 0.768 0.103 0.690
Pr 0.439 0.768 0.690
Sm 0.000 0.000 0.000



(15)
## PrSmSn (PBE-GGA)

Data for crystalline PrSmSn at its relaxed geometry.

Summary:
Energy above the most stable polymorph in this dataset: 0.1613 eV per atom
Magnetic moment: 0.0 μB per cell
ΔH_f (0 K): -434 meV per atom
Final energy: -4.93 eV/atom
Symmetry: F-43m

Lattice parameters (Å, degrees): 5.297 5.297 5.297 60.00 60.00 60.00
Positions (direct):
Pr 0.000 0.000 0.000
Sm 0.500 0.500 0.500
Sn 0.250 0.250 0.250



(16)
## Pr3SmSn3 (PBE-GGA)

Data for crystalline Pr3SmSn3 at its relaxed geometry.

Summary:
Magnetic moment: 0.0 μB per cell
ΔH_f (0 K): -449 meV per atom
Final energy: -4.89 eV/atom
Symmetry: C2/m

Lattice parameters (Å, degrees): 8.105 8.105 7.972 89.07 89.07 112.81
Positions (direct):
Sn 0.841 0.491 0.680
Sn 0.948 0.948 0.189
Sn 0.491 0.841 0.680
Sn 0.509 0.159 0.320
Sn 0.052 0.052 0.811
Sn 0.159 0.509 0.320
Pr 0.223 0.777 0.000
Pr 0.151 0.849 0.500
Pr 0.367 0.367 0.636
Pr 0.849 0.151 0.500
Pr 0.777 0.223 0.000
Pr 0.633 0.633 0.364
Sm 0.709 0.709 0.905
Sm 0.291 0.291 0.095



(17)
## Pr2SmSn (PBE-GGA)

Data for crystalline Pr2SmSn at its relaxed geometry.

Summary:
Energy above the most stable polymorph in this dataset: 0.1882 eV per atom
Magnetic moment: 0.0 μB per cell
ΔH_f (0 K): -259 meV per atom
Final energy: -4.83 eV/atom
Symmetry: Fm-3m

Lattice parameters (Å, degrees): 5.597 5.597 5.597 60.00 60.00 60.00
Positions (direct):
Sm 0.000 0.000 0.000
Pr 0.750 0.750 0.750
Pr 0.250 0.250 0.250
Sn 0.500 0.500 0.500



(18)
## PrSm4Sn2 (PBE-GGA)

Data for crystalline PrSm4Sn2 at its relaxed geometry.

Summary:
Magnetic moment: 0.0 μB per cell
ΔH_f (0 K): 299 meV per atom
Final energy: -4.22 eV/atom
Symmetry: I4/mmm

Lattice parameters (Å, degrees): 5.474 5.474 9.040 107.62 107.62 90.00
Positions (direct):
Sn 0.371 0.371 0.741
Sn 0.629 0.629 0.259
Sm 0.183 0.183 0.367
Sm 0.817 0.817 0.633
Sm 0.500 0.000 0.000
Sm 0.000 0.500 0.000
Pr 0.000 0.000 0.000



(19)
## Pr2Sm3Sn4 (PBE-GGA)

Data for crystalline Pr2Sm3Sn4 at its relaxed geometry.

Summary:
Energy above the most stable polymorph in this dataset: 0.1710 eV per atom
Magnetic moment: 0.0 μB per cell
ΔH_f (0 K): -611 meV per atom
Final energy: -5.03 eV/atom
Symmetry: Cmce

Lattice parameters (Å, degrees): 7.144 9.104 9.427 90.00 112.27 90.00
Positions (direct):
Sn 0.685 0.557 0.370
Sn 0.220 0.750 0.941
Sn 0.185 0.943 0.370
Sn 0.815 0.057 0.630
Sn 0.780 0.250 0.059
Sn 0.720 0.750 0.941
Sn 0.315 0.443 0.630
Sn 0.280 0.250 0.059
Pr 0.110 0.590 0.220
Pr 0.390 0.090 0.780
Pr 0.610 0.910 0.220
Pr 0.890 0.410 0.780
Sm 0.456 0.250 0.412
Sm 0.044 0.750 0.588
Sm 0.000 0.000 0.000
Sm 0.500 0.500 0.000
Sm 0.544 0.750 0.588
Sm 0.956 0.250 0.412



(20)
## Pr2Sm2Sn3 (PBE-GGA)

Data for crystalline Pr2Sm2Sn3 at its relaxed geometry.

Summary:
Magnetic moment: 0.6 μB per cell
ΔH_f (0 K): -566 meV per atom
Final energy: -5.00 eV/atom
Symmetry: C2/m

Lattice parameters (Å, degrees): 5.643 5.305 9.055 101.09 90.00 122.13
Last column: magnetic moment on the atom in μB.
Positions (direct):
Sm 0.617 0.234 0.881  0.14
Sm 0.383 0.766 0.119  0.14
Pr 0.136 0.272 0.369  0.04
Pr 0.864 0.728 0.631  0.04
Sn 0.231 0.463 0.739  0.00
Sn 0.000 0.000 0.000  0.00
Sn 0.769 0.537 0.261  0.00